First-principles (PBE) data for a relaxed structure of Zr2Hg2PdSe6, as listed in Alexandria via LeMat-Bulk.

Volume ... 29.5 Å³ per atom
Formation energy from raw total energies ... -744 meV per atom
Theoretical density ... 6.0 g/cm3

Unit cell a=6.401 b=11.149 c=9.581 alpha=90.00 beta=108.37 gamma=90.00
Space group C2/m (No. 12)
Asymmetric unit:
1 Zr 0.000 0.166 0.000 x4
2 Hg 0.000 0.225 0.500 x4
3 Pd 0.000 0.500 0.000 x2
4 Se 0.077 0.340 0.824 x8
5 Se 0.099 0.000 0.825 x4

---

First-principles (PBE) data for a relaxed structure of SiHgPd2, as listed in Alexandria via LeMat-Bulk.

Volume ... 17.6 Å³ per atom
Excess energy over the best structure of this formula in the dataset ... 0.157 eV per atom
Formation energy from raw total energies ... -183 meV per atom
Theoretical density ... 10.4 g/cm3

Unit cell a=7.089 b=7.089 c=5.616 alpha=90.00 beta=90.00 gamma=90.00
Space group I-42d (No. 122)
Asymmetric unit:
1 Si 0.000 0.000 0.000 x4
2 Hg 0.000 0.000 0.500 x4
3 Pd 0.192 0.750 0.125 x8

---

First-principles (PBE) data for a relaxed structure of Si3HgPd, as listed in Alexandria via LeMat-Bulk.

Volume ... 21.5 Å³ per atom
Excess energy over the best structure of this formula in the dataset ... 0.000 eV per atom
Formation energy from raw total energies ... 554 meV per atom
Theoretical density ... 6.1 g/cm3

Unit cell a=4.752 b=4.752 c=4.752 alpha=90.00 beta=90.00 gamma=90.00
Space group Pm-3m (No. 221)
Asymmetric unit:
1 Si 0.000 0.000 0.500 x3
2 Hg 0.500 0.500 0.500 x1
3 Pd 0.000 0.000 0.000 x1

---

First-principles (PBE) data for a relaxed structure of SiHgPd2, as listed in Alexandria via LeMat-Bulk.

Volume ... 16.2 Å³ per atom
Excess energy over the best structure of this formula in the dataset ... 0.000 eV per atom
Formation energy from raw total energies ... -340 meV per atom
Theoretical density ... 11.3 g/cm3

Unit cell a=3.017 b=3.017 c=7.133 alpha=90.00 beta=90.00 gamma=90.00
Space group P4/mmm (No. 123)
Asymmetric unit:
1 Si 0.000 0.000 0.000 x1
2 Hg 0.000 0.000 0.500 x1
3 Pd 0.500 0.500 0.199 x2

---

First-principles (PBE) data for a relaxed structure of SiHgPd3, as listed in Alexandria via LeMat-Bulk.

Volume ... 25.1 Å³ per atom
Excess energy over the best structure of this formula in the dataset ... 1.247 eV per atom
Formation energy from raw total energies ... 1175 meV per atom
Theoretical density ... 7.3 g/cm3

Unit cell a=5.005 b=5.005 c=5.005 alpha=90.00 beta=90.00 gamma=90.00
Space group Pm-3m (No. 221)
Asymmetric unit:
1 Si 0.000 0.000 0.000 x1
2 Hg 0.500 0.500 0.500 x1
3 Pd 0.000 0.500 0.500 x3

---

First-principles (PBE) data for a relaxed structure of SiHgPd2, as listed in Alexandria via LeMat-Bulk.

Volume ... 18.0 Å³ per atom
Excess energy over the best structure of this formula in the dataset ... 0.032 eV per atom
Formation energy from raw total energies ... -308 meV per atom
Theoretical density ... 10.2 g/cm3

Unit cell a=3.9462 b=3.9462 c=16.0595 alpha=90.00 beta=90.00 gamma=120.00
Space group R3m (No. 160, hexagonal axes)
Asymmetric unit:
1 Si 0.0000 0.0000 0.0000 x3
2 Hg 0.0000 0.0000 0.8287 x3
3 Pd 0.0000 0.0000 0.3870 x3
4 Pd 0.0000 0.0000 0.6101 x3

---

First-principles (PBE) data for a relaxed structure of SiHgPd2, as listed in Alexandria via LeMat-Bulk.

Volume ... 17.6 Å³ per atom
Excess energy over the best structure of this formula in the dataset ... 0.083 eV per atom
Formation energy from raw total energies ... -257 meV per atom
Theoretical density ... 10.4 g/cm3

Unit cell a=3.9765 b=3.9765 c=15.4280 alpha=90.00 beta=90.00 gamma=120.00
Space group R-3m (No. 166, hexagonal axes)
Asymmetric unit:
1 Si 0.0000 0.0000 0.0000 x3
2 Hg 0.0000 0.0000 0.5000 x3
3 Pd 0.0000 0.0000 0.2758 x6

---

First-principles (PBE) data for a relaxed structure of SiHgPd4, as listed in Alexandria via LeMat-Bulk.

Volume ... 16.9 Å³ per atom
Excess energy over the best structure of this formula in the dataset ... 0.088 eV per atom
Formation energy from raw total energies ... -319 meV per atom
Theoretical density ... 10.7 g/cm3

Unit cell a=8.036 b=5.500 c=4.597 alpha=90.00 beta=93.58 gamma=90.00
Space group P2_1/c (No. 14)
Asymmetric unit:
1 Si 0.000 0.000 0.000 x2
2 Hg 0.500 0.000 0.500 x2
3 Pd 0.150 0.114 0.467 x4
4 Pd 0.287 0.601 0.480 x4

---

| no. | uncorrected energy (eV per atom) |
| --- | --- |
| 1 | -4.726 |
| 2 | -4.211 |
| 3 | -3.799 |
| 4 | -4.368 |
| 5 | -3.086 |
| 6 | -4.336 |
| 7 | -4.284 |
| 8 | -4.735 |